Record 1
Compound: Pr5Nd2Dy3
Source: the Alexandria database
Functional: PBE
Structure: relaxed

## Properties
calculated volume	736	Å³ per cell

a b c (Å): 12.6261 12.6261 12.6261
angles (deg): 135.60 55.62 148.24
Atoms (fractional coordinates):
Pr1 0.0037 0.7500 0.2537
Pr2 0.1279 0.0948 0.2226
Pr3 0.2500 0.2500 0.0000
Pr4 0.3721 0.5948 0.9669
Pr5 0.4963 0.7500 0.7463
Pr6 0.5037 0.2500 0.2537
Pr7 0.6279 0.4052 0.0331
Pr8 0.7500 0.7500 0.0000
Pr9 0.8721 0.9052 0.7774
Pr10 0.9963 0.2500 0.7463
Nd1 0.1202 0.4025 0.5226
Nd2 0.3798 0.9025 0.2823
Nd3 0.6202 0.0975 0.7177
Nd4 0.8798 0.5975 0.4774
Dy1 0.1178 0.7464 0.8642
Dy2 0.2500 0.7500 0.5000
Dy3 0.3822 0.2464 0.6285
Dy4 0.6178 0.7536 0.3715
Dy5 0.7500 0.2500 0.5000
Dy6 0.8822 0.2536 0.1358

Record 2
Compound: PrNd7Dy3
Source: the Alexandria database
Functional: PBE
Structure: relaxed

## Properties
calculated volume	386	Å³ per cell

a b c (Å): 11.0790 11.0790 3.6325
angles (deg): 90.00 90.00 120.00
Atoms (fractional coordinates):
Pr1 0.0000 0.0000 0.0000
Nd1 0.2026 0.4051 0.5000
Nd2 0.2026 0.7974 0.5000
Nd3 0.5126 0.0252 0.0000
Nd4 0.5126 0.4874 0.0000
Nd5 0.5949 0.7974 0.5000
Nd6 0.6667 0.3333 0.5000
Nd7 0.9748 0.4874 0.0000
Dy1 0.3126 0.1563 0.5000
Dy2 0.8437 0.1563 0.5000
Dy3 0.8437 0.6874 0.5000

Record 3
Compound: Pr6Nd7Dy16
Source: the Alexandria database
Functional: PBE
Structure: relaxed

## Properties
calculated volume	1024	Å³ per cell

a b c (Å): 11.3134 11.3134 11.3134
angles (deg): 60.00 60.00 60.00
Atoms (fractional coordinates):
Pr1 0.2355 0.2355 0.7645
Pr2 0.2355 0.7645 0.2355
Pr3 0.2355 0.7645 0.7645
Pr4 0.7645 0.2355 0.2355
Pr5 0.7645 0.2355 0.7645
Pr6 0.7645 0.7645 0.2355
Nd1 0.0000 0.0000 0.5000
Nd2 0.0000 0.5000 0.0000
Nd3 0.0000 0.5000 0.5000
Nd4 0.5000 0.0000 0.0000
Nd5 0.5000 0.0000 0.5000
Nd6 0.5000 0.5000 0.0000
Nd7 0.5000 0.5000 0.5000
Dy1 0.1118 0.6294 0.6294
Dy2 0.1512 0.1512 0.1512
Dy3 0.1512 0.1512 0.5463
Dy4 0.1512 0.5463 0.1512
Dy5 0.3706 0.3706 0.3706
Dy6 0.3706 0.3706 0.8882
Dy7 0.3706 0.8882 0.3706
Dy8 0.4537 0.8488 0.8488
Dy9 0.5463 0.1512 0.1512
Dy10 0.6294 0.1118 0.6294
Dy11 0.6294 0.6294 0.1118
Dy12 0.6294 0.6294 0.6294
Dy13 0.8488 0.4537 0.8488
Dy14 0.8488 0.8488 0.4537
Dy15 0.8488 0.8488 0.8488
Dy16 0.8882 0.3706 0.3706

Record 4
Compound: Pr4Nd2Dy
Source: the Alexandria database
Functional: PBE
Structure: relaxed

## Properties
calculated volume	496	Å³ per cell

a b c (Å): 12.7639 6.9469 13.7688
angles (deg): 66.94 30.05 83.01
Atoms (fractional coordinates):
Pr1 0.1413 0.3032 0.0716
Pr2 0.1784 0.7661 0.1087
Pr3 0.3032 0.1413 0.4839
Pr4 0.3813 0.6187 0.4786
Pr5 0.6187 0.3813 0.5214
Pr6 0.7286 0.7714 0.6313
Pr7 0.7661 0.1784 0.9468
Pr8 0.7714 0.7286 0.8687
Nd1 0.2151 0.6886 0.3567
Nd2 0.5104 0.8933 0.5614
Nd3 0.6886 0.2151 0.7396
Nd4 0.8933 0.5104 0.0349
Dy1 0.0037 0.0037 0.9963
Dy2 0.2537 0.2537 0.2463

Record 5
Compound: PrNd9Dy2
Source: the Alexandria database
Functional: PBE
Structure: relaxed

## Properties
calculated volume	416	Å³ per cell

a b c (Å): 5.1740 5.1740 15.5345
angles (deg): 90.00 90.00 90.00
Atoms (fractional coordinates):
Pr1 0.0000 0.0000 0.0000
Nd1 0.0000 0.5000 0.1691
Nd2 0.0000 0.5000 0.5000
Nd3 0.0000 0.5000 0.8309
Nd4 0.5000 0.0000 0.1691
Nd5 0.5000 0.0000 0.5000
Nd6 0.5000 0.0000 0.8309
Nd7 0.5000 0.5000 0.0000
Nd8 0.5000 0.5000 0.3351
Nd9 0.5000 0.5000 0.6649
Dy1 0.0000 0.0000 0.3347
Dy2 0.0000 0.0000 0.6653

Record 6
Compound: Pr2Nd8Dy3
Source: the Alexandria database
Functional: PBE
Structure: relaxed

## Properties
calculated volume	453	Å³ per cell

a b c (Å): 8.9881 8.9881 6.1815
angles (deg): 107.66 107.66 82.91
Atoms (fractional coordinates):
Pr1 0.1916 0.1916 0.3448
Pr2 0.8084 0.8084 0.6552
Nd1 0.0833 0.0833 0.7646
Nd2 0.0959 0.5762 0.3388
Nd3 0.3610 0.3610 0.9039
Nd4 0.4238 0.9041 0.6612
Nd5 0.5762 0.0959 0.3388
Nd6 0.6390 0.6390 0.0961
Nd7 0.9041 0.4238 0.6612
Nd8 0.9167 0.9167 0.2354
Dy1 0.2370 0.7630 0.0000
Dy2 0.5000 0.5000 0.5000
Dy3 0.7630 0.2370 0.0000

Record 7
Compound: Pr8Nd2Dy
Source: the Alexandria database
Functional: PBE
Structure: relaxed

## Properties
calculated volume	397	Å³ per cell

a b c (Å): 9.1890 9.1890 6.8550
angles (deg): 100.18 100.18 44.31
Atoms (fractional coordinates):
Pr1 0.0927 0.0927 0.9163
Pr2 0.1515 0.6766 0.5962
Pr3 0.2560 0.2560 0.6811
Pr4 0.3234 0.8485 0.4038
Pr5 0.6766 0.1515 0.5962
Pr6 0.7440 0.7440 0.3189
Pr7 0.8485 0.3234 0.4038
Pr8 0.9073 0.9073 0.0837
Nd1 0.3056 0.3056 0.1909
Nd2 0.6944 0.6944 0.8091
Dy1 0.5000 0.5000 0.0000

Record 8
Compound: PrNdDy4
Source: the Alexandria database
Functional: PBE
Structure: relaxed

## Properties
calculated volume	197	Å³ per cell

a b c (Å): 6.2282 6.2282 7.2036
angles (deg): 106.89 106.89 47.99
Atoms (fractional coordinates):
Pr1 0.0000 0.0000 0.0000
Nd1 0.0000 0.0000 0.5000
Dy1 0.3323 0.3323 0.1665
Dy2 0.3319 0.3319 0.6656
Dy3 0.6681 0.6681 0.3344
Dy4 0.6677 0.6677 0.8335

Record 9
Compound: PrNd3Dy3
Source: the Alexandria database
Functional: PBE
Structure: relaxed

## Properties
calculated volume	477	Å³ per cell

a b c (Å): 9.7217 9.7217 5.8295
angles (deg): 90.00 90.00 120.00
Atoms (fractional coordinates):
Pr1 0.3333 0.6667 0.2500
Pr2 0.6667 0.3333 0.7500
Nd1 0.0956 0.6215 0.7500
Nd2 0.3785 0.4741 0.7500
Nd3 0.4741 0.0956 0.2500
Nd4 0.5259 0.9044 0.7500
Nd5 0.6215 0.5259 0.2500
Nd6 0.9044 0.3785 0.2500
Dy1 0.0463 0.8136 0.2500
Dy2 0.1864 0.2327 0.2500
Dy3 0.2327 0.0463 0.7500
Dy4 0.7673 0.9537 0.2500
Dy5 0.8136 0.7673 0.7500
Dy6 0.9537 0.1864 0.7500

Record 10
Compound: PrNd4Dy3
Source: the Alexandria database
Functional: PBE
Structure: relaxed

## Properties
calculated volume	548	Å³ per cell

a b c (Å): 11.7079 7.3648 6.3563
angles (deg): 90.00 90.00 90.00
Atoms (fractional coordinates):
Pr1 0.0000 0.1248 0.0000
Pr2 0.5000 0.8752 0.5000
Nd1 0.0000 0.3719 0.5034
Nd2 0.0000 0.6281 0.9958
Nd3 0.2465 0.6257 0.3337
Nd4 0.2535 0.3743 0.8337
Nd5 0.5000 0.3719 0.4958
Nd6 0.5000 0.6281 0.0034
Nd7 0.7465 0.3743 0.8337
Nd8 0.7535 0.6257 0.3337
Dy1 0.0000 0.8778 0.4990
Dy2 0.2500 0.1222 0.3326
Dy3 0.2500 0.8778 0.8326
Dy4 0.5000 0.1222 0.9990
Dy5 0.7500 0.1222 0.3326
Dy6 0.7500 0.8778 0.8326

Record 11
Compound: PrNd3Dy7
Source: the Alexandria database
Functional: PBE
Structure: relaxed

## Properties
calculated volume	382	Å³ per cell

a b c (Å): 7.1062 7.1062 8.7459
angles (deg): 90.00 90.00 120.00
Atoms (fractional coordinates):
Pr1 0.0000 0.0000 0.0000
Nd1 0.1672 0.3343 0.3401
Nd2 0.1672 0.8328 0.3401
Nd3 0.6657 0.8328 0.3401
Dy1 0.0019 0.5010 0.0006
Dy2 0.3325 0.1662 0.6749
Dy3 0.3333 0.6667 0.6781
Dy4 0.4990 0.5010 0.0006
Dy5 0.4990 0.9981 0.0006
Dy6 0.8338 0.1662 0.6749
Dy7 0.8338 0.6675 0.6749

Record 12
Compound: PrNd4Dy5
Source: the Alexandria database
Functional: PBE
Structure: relaxed

## Properties
calculated volume	334	Å³ per cell

a b c (Å): 13.0251 13.0251 7.2209
angles (deg): 97.98 97.98 15.98
Atoms (fractional coordinates):
Pr1 0.0000 0.0000 0.0000
Nd1 0.3981 0.3981 0.2009
Nd2 0.3981 0.3981 0.6969
Nd3 0.6019 0.6019 0.3031
Nd4 0.6019 0.6019 0.7991
Dy1 0.0000 0.0000 0.5000
Dy2 0.2016 0.2016 0.1009
Dy3 0.2019 0.2019 0.6007
Dy4 0.7981 0.7981 0.3993
Dy5 0.7984 0.7984 0.8991

Which total moment belongs to each record? In order, 0.00; 0.00; 0.00; 0.00; 0.00; 0.00; 0.00; 0.00; 0.00; 0.00; 0.00; 0.00 μB per cell.
Which DFT formation energy belongs to each record? In order, 34.2; 12.2; 22.0; 5.7; 1.5; 15.5; 14.4; 1.9; 2.5; 2.9; 17.2; 1.6 kJ/mol of atoms.
Which uncorrected energy belongs to each record? In order, -4.37; -4.60; -4.45; -4.69; -4.73; -4.57; -4.61; -4.64; -4.67; -4.68; -4.48; -4.67 eV per atom.